No. 1
A relaxed structure of K3Bi2Pt4, computed with PBE.

Summary:
E_form (kJ/mol of formula units): -204
DOS at the Fermi energy (states/eV per atom): 0.3424

a b c (Å): 4.7225 6.5826 9.3134
angles (deg): 106.69 90.00 111.02
With the nearest neighbours (Å) after each atom.
Fractional positions:
1 Pt 0.9225 0.8450 0.3667  2 Pt 2.62-2.89, 2 Bi 2.78
2 Pt 0.2542 0.5084 0.9217  3 Bi 2.78, 3 Pt 2.79-2.89
3 Pt 0.0775 0.1550 0.6333  2 Pt 2.62-2.89, 2 Bi 2.78
4 K 0.0000 0.0000 0.0000  8 Pt 3.42-3.82
5 Bi 0.6822 0.3645 0.7643  5 Pt 2.78
6 Bi 0.3178 0.6355 0.2357  5 Pt 2.78
7 Pt 0.7458 0.4916 0.0783  3 Bi 2.78, 3 Pt 2.79-2.89
8 K 0.6264 0.2527 0.3693  6 Pt 3.44-3.65, 4 Bi 3.53-3.80
9 K 0.3736 0.7473 0.6307  6 Pt 3.44-3.65, 4 Bi 3.53-3.80

---

No. 2
A relaxed structure of GeH2F, computed with PBE.

Summary:
DOS at the Fermi energy (states/eV per atom): 0.4396
VASP energy (eV/atom): -3.100

a b c (Å): 3.6745 3.6745 3.6745
angles (deg): 60.00 60.00 60.00
With the nearest neighbours (Å) after each atom.
Fractional positions:
1 H 0.2500 0.2500 0.2500  4 Ge 2.25, 4 F 2.25
2 H 0.7500 0.7500 0.7500  4 F 2.25, 4 Ge 2.25
3 Ge 0.5000 0.5000 0.5000  8 H 2.25
4 F 0.0000 0.0000 0.0000  8 H 2.25

---

No. 3
A relaxed structure of Ag3GeIr, computed with PBE.

Summary:
E_form (kJ/mol of formula units): 595
DOS at the Fermi energy (states/eV per atom): 0.8546

a b c (Å): 5.0347 5.0347 5.0347
angles (deg): 90.00 90.00 90.00
With the nearest neighbours (Å) after each atom.
Fractional positions:
1 Ag 0.0000 0.5000 0.0000  2 Ir 2.52
2 Ir 0.0000 0.0000 0.0000  6 Ag 2.52
3 Ge 0.5000 0.5000 0.5000  12 Ag 3.56
4 Ag 0.5000 0.0000 0.0000  2 Ir 2.52
5 Ag 0.0000 0.0000 0.5000  2 Ir 2.52

---

Please write out number 3 again, unchanged.
A relaxed structure of Ag3GeIr, computed with PBE.

Summary:
E_form (kJ/mol of formula units): 595
DOS at the Fermi energy (states/eV per atom): 0.8546

a b c (Å): 5.0347 5.0347 5.0347
angles (deg): 90.00 90.00 90.00
With the nearest neighbours (Å) after each atom.
Fractional positions:
1 Ag 0.0000 0.5000 0.0000  2 Ir 2.52
2 Ir 0.0000 0.0000 0.0000  6 Ag 2.52
3 Ge 0.5000 0.5000 0.5000  12 Ag 3.56
4 Ag 0.5000 0.0000 0.0000  2 Ir 2.52
5 Ag 0.0000 0.0000 0.5000  2 Ir 2.52

---

Look up the DOS at the Fermi energy of the first one.
0.3424 states/eV per atom